# 1
# BeInB2 PBE-GGA optimized geometry
# Magnetization, μB/f.u.: 0.00
# E above lowest polymorph, eV/atom: 0.128
# ρ, Mg/m³: 4.2
# Energy relative to the elements, kJ/mol of formula units: 81
data_BeInB2
_cell_length_a 3.472
_cell_length_b 5.145
_cell_length_c 6.987
_cell_angle_alpha 98.01
_cell_angle_beta 90.91
_cell_angle_gamma 109.71
_space_group_name_H-M_alt 'P 1'
_space_group_IT_number 1
loop_
_space_group_symop_operation_xyz
'x,y,z'
loop_
_atom_site_label
_atom_site_type_symbol
_atom_site_fract_x
_atom_site_fract_y
_atom_site_fract_z
Be1 Be 0.000 0.000 0.000
Be2 Be 0.358 0.715 0.989
In1 In 0.084 0.151 0.379
In2 In 0.833 0.660 0.573
B1 B 0.427 0.353 0.988
B2 B 0.562 0.118 0.104
B3 B 0.799 0.604 0.899
B4 B 0.926 0.353 0.988

***

# 2
# Be2InB PBE-GGA optimized geometry
# Magnetization, μB/f.u.: 0.00
# E above lowest polymorph, eV/atom: 0.720
# ρ, Mg/m³: 4.8
# Energy relative to the elements, kJ/mol of formula units: 453
data_Be2InB
_cell_length_a 5.836
_cell_length_b 5.836
_cell_length_c 5.836
_cell_angle_alpha 90.00
_cell_angle_beta 90.00
_cell_angle_gamma 90.00
_space_group_name_H-M_alt 'F m -3 m'
_space_group_IT_number 225
_space_group_name_Hall '-F 4 2 3'
loop_
_atom_site_label
_atom_site_type_symbol
_atom_site_fract_x
_atom_site_fract_y
_atom_site_fract_z
Be1 Be 0.250 0.250 0.250
In1 In 0.000 0.000 0.000
B1 B 0.000 0.000 0.500

***

# 3
# BeIn2B PBE-GGA optimized geometry
# Magnetization, μB/f.u.: 0.00
# E above lowest polymorph, eV/atom: 0.091
# ρ, Mg/m³: 6.1
# Energy relative to the elements, kJ/mol of formula units: 416
data_BeIn2B
_cell_length_a 6.474
_cell_length_b 6.474
_cell_length_c 6.474
_cell_angle_alpha 90.00
_cell_angle_beta 90.00
_cell_angle_gamma 90.00
_space_group_name_H-M_alt 'F m -3 m'
_space_group_IT_number 225
_space_group_name_Hall '-F 4 2 3'
loop_
_atom_site_label
_atom_site_type_symbol
_atom_site_fract_x
_atom_site_fract_y
_atom_site_fract_z
Be1 Be 0.000 0.000 0.000
In1 In 0.250 0.250 0.250
B1 B 0.000 0.000 0.500

***

# 4
# BeInB2 PBE-GGA optimized geometry
# Magnetization, μB/f.u.: 0.00
# E above lowest polymorph, eV/atom: 0.000
# ρ, Mg/m³: 4.9
# Energy relative to the elements, kJ/mol of formula units: 31
data_BeInB2
_cell_length_a 3.031
_cell_length_b 5.270
_cell_length_c 6.275
_cell_angle_alpha 90.00
_cell_angle_beta 102.35
_cell_angle_gamma 90.00
_space_group_name_H-M_alt 'P 1 21/m 1'
_space_group_IT_number 11
loop_
_space_group_symop_operation_xyz
'x,y,z'
'-x,-y,-z'
'-x,y+1/2,-z'
'x,-y+1/2,z'
loop_
_atom_site_label
_atom_site_type_symbol
_atom_site_fract_x
_atom_site_fract_y
_atom_site_fract_z
Be1 Be 0.186 0.250 0.360
In1 In 0.116 0.750 0.095
B1 B 0.243 0.585 0.484

***

# 5
# BeInB2 PBE-GGA optimized geometry
# Magnetization, μB/f.u.: 0.00
# E above lowest polymorph, eV/atom: 0.112
# ρ, Mg/m³: 4.5
# Energy relative to the elements, kJ/mol of formula units: 74
data_BeInB2
_cell_length_a 3.512
_cell_length_b 4.576
_cell_length_c 6.893
_cell_angle_alpha 80.58
_cell_angle_beta 80.11
_cell_angle_gamma 80.56
_space_group_name_H-M_alt 'P -1'
_space_group_IT_number 2
loop_
_space_group_symop_operation_xyz
'x,y,z'
'-x,-y,-z'
loop_
_atom_site_label
_atom_site_type_symbol
_atom_site_fract_x
_atom_site_fract_y
_atom_site_fract_z
Be1 Be 0.047 0.142 0.099
In1 In 0.275 0.761 0.411
B1 B 0.250 0.501 0.982
B2 B 0.423 0.817 0.036

***

# 6
# Be2InB PBE-GGA optimized geometry
# Magnetization, μB/f.u.: 0.00
# E above lowest polymorph, eV/atom: 0.000
# ρ, Mg/m³: 4.6
# Energy relative to the elements, kJ/mol of formula units: 175
data_Be2InB
_cell_length_a 4.003
_cell_length_b 4.003
_cell_length_c 12.878
_cell_angle_alpha 90.00
_cell_angle_beta 90.00
_cell_angle_gamma 90.00
_space_group_name_H-M_alt 'I 41/a m d'
_space_group_IT_number 141
loop_
_space_group_symop_operation_xyz
'x,y,z'
'-x,-y,-z'
'-y+1/4,x+3/4,z+1/4'
'y+1/4,-x+3/4,-z+1/4'
'-x+1/2,-y,z+1/2'
'x+1/2,y,-z+1/2'
'y+1/4,-x+1/4,z+3/4'
'-y+1/4,x+1/4,-z+3/4'
'x,-y,-z'
'-x,y,z'
'-y+1/4,-x+1/4,-z+3/4'
'y+1/4,x+1/4,z+3/4'
'-x+1/2,y,-z+1/2'
'x+1/2,-y,z+1/2'
'y+1/4,x+3/4,-z+1/4'
'-y+1/4,-x+3/4,z+1/4'
'x+1/2,y+1/2,z+1/2'
'-x+1/2,-y+1/2,-z+1/2'
'-y+3/4,x+1/4,z+3/4'
'y+3/4,-x+1/4,-z+3/4'
'-x,-y+1/2,z'
'x,y+1/2,-z'
'y+3/4,-x+3/4,z+1/4'
'-y+3/4,x+3/4,-z+1/4'
'x+1/2,-y+1/2,-z+1/2'
'-x+1/2,y+1/2,z+1/2'
'-y+3/4,-x+3/4,-z+1/4'
'y+3/4,x+3/4,z+1/4'
'-x,y+1/2,-z'
'x,-y+1/2,z'
'y+3/4,x+1/4,-z+3/4'
'-y+3/4,-x+1/4,z+3/4'
loop_
_atom_site_label
_atom_site_type_symbol
_atom_site_fract_x
_atom_site_fract_y
_atom_site_fract_z
Be1 Be 0.000 0.000 0.000
In1 In 0.000 0.250 0.375
B1 B 0.000 0.250 0.875

***

# 7
# MgBe2InB PBE-GGA optimized geometry
# Magnetization, μB/f.u.: 0.00
# ρ, Mg/m³: 3.6
# Energy relative to the elements, kJ/mol of formula units: 237
data_MgBe2InB
_cell_length_a 3.839
_cell_length_b 3.839
_cell_length_c 5.267
_cell_angle_alpha 90.00
_cell_angle_beta 90.00
_cell_angle_gamma 90.00
_space_group_name_H-M_alt 'P 4/m m m'
_space_group_IT_number 123
_space_group_name_Hall '-P 4 2'
loop_
_atom_site_label
_atom_site_type_symbol
_atom_site_fract_x
_atom_site_fract_y
_atom_site_fract_z
Mg1 Mg 0.000 0.000 0.000
Be1 Be 0.000 0.500 0.500
In1 In 0.500 0.500 0.000
B1 B 0.500 0.500 0.500

***

# 8
# RbBeIn2B PBE-GGA optimized geometry
# Magnetization, μB/f.u.: 0.00
# ρ, Mg/m³: 4.6
# Energy relative to the elements, kJ/mol of formula units: 313
data_RbBeIn2B
_cell_length_a 5.630
_cell_length_b 5.630
_cell_length_c 3.808
_cell_angle_alpha 90.00
_cell_angle_beta 90.00
_cell_angle_gamma 90.00
_space_group_name_H-M_alt 'P 4/m m m'
_space_group_IT_number 123
_space_group_name_Hall '-P 4 2'
loop_
_atom_site_label
_atom_site_type_symbol
_atom_site_fract_x
_atom_site_fract_y
_atom_site_fract_z
Rb1 Rb 0.000 0.000 0.000
Be1 Be 0.500 0.500 0.000
In1 In 0.000 0.500 0.500
B1 B 0.500 0.500 0.500

***

| no. | volume (A^3/atom) | VASP energy (eV per cell) |
| --- | --- | --- |
| 1 | 14.5 | -37.965 |
| 2 | 12.4 | -48.688 |
| 3 | 17.0 | -46.292 |
| 4 | 12.2 | -38.990 |
| 5 | 13.3 | -38.097 |
| 6 | 12.9 | -60.202 |
| 7 | 15.5 | -16.005 |
| 8 | 24.1 | -13.606 |